Entry 1:
# TlPt GGA-PBE relaxed
data_TlPt
_space_group_name_H-M_alt 'P 1'
_space_group_IT_number 1
_cell_length_a 3.700
_cell_length_b 3.700
_cell_length_c 3.009
_cell_angle_alpha 90.00
_cell_angle_beta 90.00
_cell_angle_gamma 98.63
loop_
_space_group_symop_operation_xyz
'x,y,z'
loop_
_atom_site_label
_atom_site_type_symbol
_atom_site_fract_x
_atom_site_fract_y
_atom_site_fract_z
Pt1 Pt 0.000 0.000 0.000
Tl1 Tl 0.500 0.500 0.500
# Final energy   -8.2 eV per cell
# Calculated volume   20.4 Å³/atom
# Total magnetic moment   0.000 μB per atom
# Energy of formation   0.1001 eV/atom

***

Entry 2:
# Tl2Pt GGA-PBE relaxed
data_Tl2Pt
_space_group_name_H-M_alt 'P 1'
_space_group_IT_number 1
_cell_length_a 12.922
_cell_length_b 12.922
_cell_length_c 12.922
_cell_angle_alpha 164.75
_cell_angle_beta 164.75
_cell_angle_gamma 21.63
loop_
_space_group_symop_operation_xyz
'x,y,z'
loop_
_atom_site_label
_atom_site_type_symbol
_atom_site_fract_x
_atom_site_fract_y
_atom_site_fract_z
Tl1 Tl 0.568 0.568 0.000
Pt1 Pt 0.000 0.000 0.000
Tl2 Tl 0.182 0.682 0.500
Tl3 Tl 0.432 0.432 0.000
Tl4 Tl 0.318 0.818 0.500
Pt2 Pt 0.750 0.250 0.500
# Final energy   -21.3 eV per cell
# Calculated volume   24.9 Å³/atom
# Total magnetic moment   0.000 μB per atom
# Energy of formation   0.0388 eV/atom

***

Entry 3:
# TlPt4 GGA-PBE relaxed
data_TlPt4
_space_group_name_H-M_alt 'P 1'
_space_group_IT_number 1
_cell_length_a 4.970
_cell_length_b 4.970
_cell_length_c 4.970
_cell_angle_alpha 90.00
_cell_angle_beta 90.00
_cell_angle_gamma 90.00
loop_
_space_group_symop_operation_xyz
'x,y,z'
loop_
_atom_site_label
_atom_site_type_symbol
_atom_site_fract_x
_atom_site_fract_y
_atom_site_fract_z
Pt1 Pt 0.500 0.000 0.500
Pt2 Pt 0.000 0.000 0.000
Pt3 Pt 0.000 0.500 0.500
Tl1 Tl 0.500 0.500 0.500
Pt4 Pt 0.500 0.500 0.000
# Energy above the lowest structure with this stoichiometry   1.693 eV per atom
# Final energy   -17.9 eV per cell
# Calculated volume   24.6 Å³/atom
# Total magnetic moment   0.000 μB per atom
# Energy of formation   1.7167 eV/atom

***

Entry 4:
# TlPt2 GGA-PBE relaxed
data_TlPt2
_space_group_name_H-M_alt 'P 1'
_space_group_IT_number 1
_cell_length_a 5.530
_cell_length_b 5.530
_cell_length_c 7.146
_cell_angle_alpha 85.39
_cell_angle_beta 85.39
_cell_angle_gamma 31.17
loop_
_space_group_symop_operation_xyz
'x,y,z'
loop_
_atom_site_label
_atom_site_type_symbol
_atom_site_fract_x
_atom_site_fract_y
_atom_site_fract_z
Pt1 Pt 0.960 0.960 0.036
Pt2 Pt 0.601 0.601 0.282
Pt3 Pt 0.723 0.723 0.617
Pt4 Pt 0.332 0.332 0.320
Tl1 Tl 0.987 0.987 0.622
Tl2 Tl 0.231 0.231 0.957
# Energy above the lowest structure with this stoichiometry   0.132 eV per atom
# Final energy   -28.4 eV per cell
# Calculated volume   18.8 Å³/atom
# Total magnetic moment   0.000 μB per atom
# Energy of formation   0.0832 eV/atom

***

Entry 5:
# TlPt3 GGA-PBE relaxed
data_TlPt3
_space_group_name_H-M_alt 'P 1'
_space_group_IT_number 1
_cell_length_a 5.666
_cell_length_b 5.666
_cell_length_c 5.666
_cell_angle_alpha 150.14
_cell_angle_beta 129.06
_cell_angle_gamma 60.17
loop_
_space_group_symop_operation_xyz
'x,y,z'
loop_
_atom_site_label
_atom_site_type_symbol
_atom_site_fract_x
_atom_site_fract_y
_atom_site_fract_z
Pt1 Pt 0.000 0.500 0.500
Pt2 Pt 0.246 0.246 0.000
Pt3 Pt 0.754 0.754 0.000
Tl1 Tl 0.500 0.000 0.500
# Final energy   -20.2 eV per cell
# Calculated volume   17.4 Å³/atom
# Total magnetic moment   0.000 μB per atom
# Energy of formation   0.0692 eV/atom

***

Entry 6:
# TlPt2 GGA-PBE relaxed
data_TlPt2
_space_group_name_H-M_alt 'P 1'
_space_group_IT_number 1
_cell_length_a 5.076
_cell_length_b 5.076
_cell_length_c 5.076
_cell_angle_alpha 145.66
_cell_angle_beta 132.57
_cell_angle_gamma 59.86
loop_
_space_group_symop_operation_xyz
'x,y,z'
loop_
_atom_site_label
_atom_site_type_symbol
_atom_site_fract_x
_atom_site_fract_y
_atom_site_fract_z
Pt1 Pt 0.332 0.332 0.000
Pt2 Pt 0.668 0.668 0.000
Tl1 Tl 0.000 0.000 0.000
# Energy above the lowest structure with this stoichiometry   0.154 eV per atom
# Final energy   -14.1 eV per cell
# Calculated volume   17.9 Å³/atom
# Total magnetic moment   0.000 μB per atom
# Energy of formation   0.1060 eV/atom

***

Entry 7:
# Tl2Pt3 GGA-PBE relaxed
data_Tl2Pt3
_space_group_name_H-M_alt 'P 1'
_space_group_IT_number 1
_cell_length_a 4.509
_cell_length_b 4.509
_cell_length_c 5.855
_cell_angle_alpha 90.00
_cell_angle_beta 90.00
_cell_angle_gamma 120.00
loop_
_space_group_symop_operation_xyz
'x,y,z'
loop_
_atom_site_label
_atom_site_type_symbol
_atom_site_fract_x
_atom_site_fract_y
_atom_site_fract_z
Tl1 Tl 0.333 0.667 0.661
Tl2 Tl 0.667 0.333 0.339
Pt1 Pt 0.333 0.667 0.158
Pt2 Pt 0.000 0.000 0.000
Pt3 Pt 0.667 0.333 0.842
# Energy above the lowest structure with this stoichiometry   0.144 eV per atom
# Final energy   -22.7 eV per cell
# Calculated volume   20.6 Å³/atom
# Total magnetic moment   0.000 μB per atom
# Energy of formation   0.0238 eV/atom

***

Entry 8:
# Tl2Pt3 GGA-PBE relaxed
data_Tl2Pt3
_space_group_name_H-M_alt 'P 1'
_space_group_IT_number 1
_cell_length_a 5.733
_cell_length_b 5.733
_cell_length_c 14.170
_cell_angle_alpha 90.00
_cell_angle_beta 90.00
_cell_angle_gamma 120.00
loop_
_space_group_symop_operation_xyz
'x,y,z'
loop_
_atom_site_label
_atom_site_type_symbol
_atom_site_fract_x
_atom_site_fract_y
_atom_site_fract_z
Tl1 Tl 0.333 0.667 0.750
Pt1 Pt 0.332 0.166 0.414
Pt2 Pt 0.834 0.166 0.086
Pt3 Pt 0.166 0.834 0.914
Tl2 Tl 0.333 0.667 0.407
Pt4 Pt 0.166 0.332 0.914
Tl3 Tl 0.000 0.000 0.750
Pt5 Pt 0.668 0.834 0.586
Tl4 Tl 0.000 0.000 0.250
Pt6 Pt 0.166 0.332 0.586
Pt7 Pt 0.834 0.668 0.086
Tl5 Tl 0.667 0.333 0.907
Pt8 Pt 0.332 0.166 0.086
Tl6 Tl 0.333 0.667 0.093
Tl7 Tl 0.667 0.333 0.250
Tl8 Tl 0.667 0.333 0.593
Pt9 Pt 0.834 0.668 0.414
Pt10 Pt 0.166 0.834 0.586
Pt11 Pt 0.668 0.834 0.914
Pt12 Pt 0.834 0.166 0.414
# Energy above the lowest structure with this stoichiometry   0.000 eV per atom
# Final energy   -93.8 eV per cell
# Calculated volume   20.2 Å³/atom
# Total magnetic moment   0.000 μB per atom
# Energy of formation   -0.1198 eV/atom

***

Entry 9:
# Tl3Pt GGA-PBE relaxed
data_Tl3Pt
_space_group_name_H-M_alt 'P 1'
_space_group_IT_number 1
_cell_length_a 7.732
_cell_length_b 7.732
_cell_length_c 4.273
_cell_angle_alpha 90.00
_cell_angle_beta 90.00
_cell_angle_gamma 120.00
loop_
_space_group_symop_operation_xyz
'x,y,z'
loop_
_atom_site_label
_atom_site_type_symbol
_atom_site_fract_x
_atom_site_fract_y
_atom_site_fract_z
Pt1 Pt 0.333 0.667 0.250
Pt2 Pt 0.667 0.333 0.750
Tl1 Tl 0.815 0.185 0.250
Tl2 Tl 0.815 0.629 0.250
Tl3 Tl 0.629 0.815 0.750
Tl4 Tl 0.371 0.185 0.250
Tl5 Tl 0.185 0.815 0.750
Tl6 Tl 0.185 0.371 0.750
# Energy above the lowest structure with this stoichiometry   0.095 eV per atom
# Final energy   -25.7 eV per cell
# Calculated volume   27.7 Å³/atom
# Total magnetic moment   0.000 μB per atom
# Energy of formation   0.0734 eV/atom

***

Entry 10:
# Tl4Pt5 GGA-PBE relaxed
data_Tl4Pt5
_space_group_name_H-M_alt 'P 1'
_space_group_IT_number 1
_cell_length_a 8.273
_cell_length_b 8.273
_cell_length_c 5.863
_cell_angle_alpha 90.00
_cell_angle_beta 90.00
_cell_angle_gamma 120.00
loop_
_space_group_symop_operation_xyz
'x,y,z'
loop_
_atom_site_label
_atom_site_type_symbol
_atom_site_fract_x
_atom_site_fract_y
_atom_site_fract_z
Pt1 Pt 0.667 0.333 0.000
Pt2 Pt 0.297 0.297 0.250
Tl1 Tl 0.373 0.000 0.250
Pt3 Pt 0.000 0.297 0.750
Tl2 Tl 0.627 0.000 0.750
Pt4 Pt 0.333 0.667 0.500
Pt5 Pt 0.333 0.667 0.000
Tl3 Tl 0.000 0.000 0.000
Tl4 Tl 0.000 0.000 0.500
Pt6 Pt 0.703 0.000 0.250
Tl5 Tl 0.627 0.627 0.250
Tl6 Tl 0.373 0.373 0.750
Pt7 Pt 0.667 0.333 0.500
Tl7 Tl 0.000 0.627 0.750
Tl8 Tl 0.000 0.373 0.250
Pt8 Pt 0.703 0.703 0.750
Pt9 Pt 0.297 0.000 0.750
Pt10 Pt 0.000 0.703 0.250
# Final energy   -76.9 eV per cell
# Calculated volume   19.3 Å³/atom
# Total magnetic moment   0.000 μB per atom
# Energy of formation   0.1380 eV/atom

***

Entry 11:
# TlPt2 GGA-PBE relaxed
data_TlPt2
_space_group_name_H-M_alt 'P 1'
_space_group_IT_number 1
_cell_length_a 4.544
_cell_length_b 4.544
_cell_length_c 3.051
_cell_angle_alpha 90.00
_cell_angle_beta 90.00
_cell_angle_gamma 120.00
loop_
_space_group_symop_operation_xyz
'x,y,z'
loop_
_atom_site_label
_atom_site_type_symbol
_atom_site_fract_x
_atom_site_fract_y
_atom_site_fract_z
Pt1 Pt 0.333 0.667 0.672
Tl1 Tl 0.000 0.000 0.000
Pt2 Pt 0.667 0.333 0.328
# Energy above the lowest structure with this stoichiometry   0.155 eV per atom
# Final energy   -14.1 eV per cell
# Calculated volume   18.2 Å³/atom
# Total magnetic moment   0.000 μB per atom
# Energy of formation   0.1061 eV/atom

***

Entry 12:
# Tl5Pt3 GGA-PBE relaxed
data_Tl5Pt3
_space_group_name_H-M_alt 'P 1'
_space_group_IT_number 1
_cell_length_a 11.108
_cell_length_b 8.792
_cell_length_c 9.032
_cell_angle_alpha 94.21
_cell_angle_beta 108.85
_cell_angle_gamma 144.09
loop_
_space_group_symop_operation_xyz
'x,y,z'
loop_
_atom_site_label
_atom_site_type_symbol
_atom_site_fract_x
_atom_site_fract_y
_atom_site_fract_z
Tl1 Tl 0.574 0.859 0.192
Pt1 Pt 0.703 0.979 0.557
Pt2 Pt 0.296 0.021 0.443
Tl2 Tl 0.150 0.825 0.072
Pt3 Pt 0.216 0.666 0.868
Pt4 Pt 0.291 0.223 0.980
Tl3 Tl 0.821 0.682 0.307
Tl4 Tl 0.849 0.175 0.928
Pt5 Pt 0.708 0.777 0.020
Tl5 Tl 0.179 0.318 0.693
Tl6 Tl 0.266 0.310 0.280
Tl7 Tl 0.770 0.371 0.541
Tl8 Tl 0.426 0.141 0.808
Tl9 Tl 0.733 0.690 0.720
Tl10 Tl 0.229 0.629 0.459
Pt6 Pt 0.783 0.334 0.132
# Energy above the lowest structure with this stoichiometry   0.000 eV per atom
# Final energy   -60.6 eV per cell
# Calculated volume   24.4 Å³/atom
# Total magnetic moment   0.000 μB per atom
# Energy of formation   -0.0443 eV/atom